DFT (PBE with a Hubbard U) results for a relaxed structure of Na2Tl2CrF6.

Results
V = 192.50 Å³ per cell
DFT total energy = -4.685 eV/atom
total moment = 4.0 μB per formula unit
SG = C2/m

extended XYZ file:
```
11
Lattice="3.065 -4.985 0.000 3.065 4.985 0.000 -2.079 0.000 6.299" Properties=species:S:1:pos:R:3 pbc="T T T"
Na 3.065 3.405 0.000
Na 3.065 -3.405 0.000
Tl 2.026 1.762 3.150
Tl 2.026 -1.762 3.150
Cr 3.065 0.000 0.000
F 0.089 1.500 5.227
F 1.072 0.000 1.378
F 0.089 -1.500 5.227
F 3.962 1.500 1.072
F 2.979 0.000 4.921
F 3.962 -1.500 1.072
```